1.
{
  "formula": "Sr2ZrUN4",
  "functional": "PBE",
  "state": "relaxed",
  "formation_energy_uncorrected_kcal_per_mol_atoms": -29.0,
  "lattice_angstrom": [[5.959, 0.000, 0.000], [0.000, 3.493, 0.000], [-1.963, 0.000, 5.960]],
  "species": ["Sr", "Sr", "Zr", "U", "N", "N", "N", "N"],
  "fractional_positions": [[0.000, 0.000, 0.000], [0.500, 0.500, 0.000], [0.000, 0.500, 0.500], [0.500, 0.000, 0.500], [0.239, 0.000, 0.695], [0.269, 0.500, 0.305], [0.731, 0.500, 0.695], [0.761, 0.000, 0.305]]
}



2.
{
  "formula": "Sm2Pd4Au",
  "functional": "PBE",
  "state": "relaxed",
  "formation_energy_ev_per_atom": -0.702,
  "lattice_angstrom": [[4.042, 0.000, 0.000], [0.000, 4.042, 0.000], [0.000, 0.000, 18.112]],
  "species": ["Sm", "Sm", "Sm", "Sm", "Pd", "Pd", "Pd", "Pd", "Pd", "Pd", "Pd", "Pd", "Au", "Au"],
  "fractional_positions": [[0.000, 0.000, 0.114], [0.000, 0.000, 0.886], [0.500, 0.500, 0.386], [0.500, 0.500, 0.614], [0.000, 0.000, 0.353], [0.000, 0.000, 0.647], [0.000, 0.500, 0.250], [0.000, 0.500, 0.750], [0.500, 0.000, 0.250], [0.500, 0.000, 0.750], [0.500, 0.500, 0.147], [0.500, 0.500, 0.853], [0.000, 0.000, 0.500], [0.500, 0.500, 0.000]]
}



3.
{
  "formula": "MnAuSe2",
  "functional": "PBE",
  "state": "relaxed",
  "formation_energy_uncorrected_kcal_per_mol_atoms": 1.4,
  "lattice_angstrom": [[2.966, 0.000, 0.000], [0.000, 2.966, 0.000], [0.000, 0.000, 8.925]],
  "species": ["Mn", "Au", "Se", "Se"],
  "fractional_positions": [[0.000, 0.000, 0.000], [0.500, 0.500, 0.784], [0.000, 0.000, 0.529], [0.500, 0.500, 0.151]]
}



4.
{
  "formula": "SrBeHgPt2",
  "functional": "PBE",
  "state": "relaxed",
  "formation_energy_ev_per_atom": -0.403,
  "lattice_angstrom": [[4.539, 0.000, 0.000], [0.000, 4.539, 0.000], [0.000, 0.000, 4.752]],
  "species": ["Sr", "Be", "Hg", "Pt", "Pt"],
  "fractional_positions": [[0.000, 0.000, 0.000], [0.500, 0.500, 0.500], [0.500, 0.500, 0.000], [0.000, 0.500, 0.500], [0.500, 0.000, 0.500]]
}



5.
{
  "formula": "Mg6PdPb",
  "functional": "PBE",
  "state": "relaxed",
  "relative_energy_ev_per_atom": 0.0000,
  "formation_energy_ev_per_atom": -0.203,
  "lattice_angstrom": [[4.389, 0.000, 0.000], [0.000, 4.389, 0.000], [0.000, 0.000, 8.784]],
  "species": ["Mg", "Mg", "Mg", "Mg", "Mg", "Mg", "Pd", "Pb"],
  "fractional_positions": [[0.000, 0.000, 0.000], [0.000, 0.000, 0.500], [0.000, 0.500, 0.222], [0.000, 0.500, 0.778], [0.500, 0.000, 0.222], [0.500, 0.000, 0.778], [0.500, 0.500, 0.000], [0.500, 0.500, 0.500]]
}



6.
{
  "formula": "CaEu2Ho",
  "functional": "PBE",
  "state": "relaxed",
  "relative_energy_ev_per_atom": 0.0490,
  "formation_energy_ev_per_atom": 0.118,
  "lattice_angstrom": [[6.035, 0.000, 0.000], [0.000, 6.035, 0.000], [0.000, 0.000, 4.176]],
  "species": ["Ca", "Eu", "Eu", "Ho"],
  "fractional_positions": [[0.000, 0.000, 0.000], [0.000, 0.500, 0.500], [0.500, 0.000, 0.500], [0.500, 0.500, 0.000]]
}



7.
{
  "formula": "CaTb2Nd8",
  "functional": "PBE",
  "state": "relaxed",
  "formation_energy_ev_per_atom": 0.144,
  "lattice_angstrom": [[-2.855, 4.289, 8.035], [2.855, -4.289, 8.035], [2.855, 4.289, -8.035]],
  "species": ["Ca", "Tb", "Tb", "Nd", "Nd", "Nd", "Nd", "Nd", "Nd", "Nd", "Nd"],
  "fractional_positions": [[0.000, 0.000, 0.000], [0.297, 0.297, 0.000], [0.703, 0.703, 0.000], [0.157, 0.857, 0.300], [0.160, 0.660, 0.500], [0.308, 0.500, 0.808], [0.442, 0.143, 0.300], [0.558, 0.857, 0.700], [0.692, 0.500, 0.192], [0.840, 0.340, 0.500], [0.843, 0.143, 0.700]]
}



8.
{
  "formula": "CdP2Cl",
  "functional": "PBE",
  "state": "relaxed",
  "relative_energy_ev_per_atom": 0.3752,
  "formation_energy_uncorrected_kcal_per_mol_atoms": 3.6,
  "lattice_angstrom": [[3.715, 0.000, 0.000], [0.000, 3.715, 0.000], [0.000, 0.000, 26.661]],
  "species": ["Cd", "Cd", "Cd", "Cd", "P", "P", "P", "P", "P", "P", "P", "P", "Cl", "Cl", "Cl", "Cl"],
  "fractional_positions": [[0.000, 0.000, 0.000], [0.000, 0.500, 0.250], [0.500, 0.000, 0.750], [0.500, 0.500, 0.500], [0.175, 0.250, 0.625], [0.250, 0.675, 0.875], [0.250, 0.825, 0.375], [0.325, 0.250, 0.125], [0.675, 0.750, 0.125], [0.750, 0.175, 0.375], [0.750, 0.325, 0.875], [0.825, 0.750, 0.625], [0.000, 0.000, 0.500], [0.000, 0.500, 0.750], [0.500, 0.000, 0.250], [0.500, 0.500, 0.000]]
}



It is found that the total moment values, taken in the order of the records, are 1.1, 0.0, 2.7, 0.0, 0.0, 14.5, 0.0, 0.0 μB/cell.